Entry 1:
# LaNd2ErP4

A geometry-optimized LaNd2ErP4 structure (GGA-PBE, Alexandria via LeMat-Bulk).

Structure (CIF):
```
data_LaNd2ErP4
_chemical_formula_sum 'La1 Nd2 Er1 P4'
_space_group_name_H-M_alt 'P 1 2/m 1'
_space_group_IT_number 10
_cell_length_a 7.180
_cell_length_b 4.151
_cell_length_c 7.182
_cell_angle_alpha 90.00
_cell_angle_beta 109.41
_cell_angle_gamma 90.00
loop_
_space_group_symop_operation_xyz
'x,y,z'
'-x,-y,-z'
'-x,y,-z'
'x,-y,z'
loop_
_atom_site_label
_atom_site_type_symbol
_atom_site_fract_x
_atom_site_fract_y
_atom_site_fract_z
La1 La 0.000 0.000 0.000
Nd1 Nd 0.000 0.500 0.500
Nd2 Nd 0.500 0.000 0.500
Er1 Er 0.500 0.500 0.000
P1 P 0.257 0.500 0.249
P2 P 0.259 0.000 0.757
```

Calculated values
E_form in meV per atom: -1545

---

Entry 2:
# Ca2Ge2Au7

A geometry-optimized Ca2Ge2Au7 structure (GGA-PBE, Alexandria via LeMat-Bulk).

Structure (CIF):
```
data_Ca2Ge2Au7
_chemical_formula_sum 'Ca4 Ge4 Au14'
_space_group_name_H-M_alt 'C 1 2/m 1'
_space_group_IT_number 12
_cell_length_a 10.446
_cell_length_b 9.355
_cell_length_c 5.413
_cell_angle_alpha 90.00
_cell_angle_beta 117.26
_cell_angle_gamma 90.00
loop_
_space_group_symop_operation_xyz
'x,y,z'
'-x,-y,-z'
'-x,y,-z'
'x,-y,z'
'x+1/2,y+1/2,z'
'-x+1/2,-y+1/2,-z'
'-x+1/2,y+1/2,-z'
'x+1/2,-y+1/2,z'
loop_
_atom_site_label
_atom_site_type_symbol
_atom_site_fract_x
_atom_site_fract_y
_atom_site_fract_z
Ca1 Ca 0.000 0.234 0.000
Ge1 Ge 0.244 0.500 0.513
Au1 Au 0.000 0.000 0.500
Au2 Au 0.161 0.262 0.650
Au3 Au 0.199 0.500 0.999
```

Calculated values
E_form in meV per atom: -378

---

Entry 3:
# NaSnMoH

A geometry-optimized NaSnMoH structure (GGA-PBE, Alexandria via LeMat-Bulk).

Structure (CIF):
```
data_NaSnMoH
_chemical_formula_sum 'Na2 Sn2 Mo2 H2'
_space_group_name_H-M_alt 'C 1 m 1'
_space_group_IT_number 8
_cell_length_a 11.293
_cell_length_b 4.564
_cell_length_c 2.917
_cell_angle_alpha 90.00
_cell_angle_beta 104.84
_cell_angle_gamma 90.00
loop_
_space_group_symop_operation_xyz
'x,y,z'
'x,-y,z'
'x+1/2,y+1/2,z'
'x+1/2,-y+1/2,z'
loop_
_atom_site_label
_atom_site_type_symbol
_atom_site_fract_x
_atom_site_fract_y
_atom_site_fract_z
Na1 Na 0.000 0.000 0.000
Sn1 Sn 0.220 0.500 0.244
Mo1 Mo 0.281 0.000 0.804
H1 H 0.398 0.000 0.421
```

Calculated values
Energy above the lowest structure with this stoichiometry in meV per atom: 60

---

Entry 4:
# BeIrOsPb2

A geometry-optimized BeIrOsPb2 structure (GGA-PBE, Alexandria via LeMat-Bulk).

Structure (CIF):
```
data_BeIrOsPb2
_chemical_formula_sum 'Be1 Ir1 Os1 Pb2'
_space_group_name_H-M_alt 'P 4/m m m'
_space_group_IT_number 123
_space_group_name_Hall '-P 4 2'
_cell_length_a 5.090
_cell_length_b 5.090
_cell_length_c 4.971
_cell_angle_alpha 90.00
_cell_angle_beta 90.00
_cell_angle_gamma 90.00
loop_
_atom_site_label
_atom_site_type_symbol
_atom_site_fract_x
_atom_site_fract_y
_atom_site_fract_z
Be1 Be 0.000 0.000 0.000
Ir1 Ir 0.500 0.500 0.500
Os1 Os 0.500 0.500 0.000
Pb1 Pb 0.000 0.500 0.500
```

Calculated values
E_form in meV per atom: 1587

---

Entry 5:
# K2LaP

A geometry-optimized K2LaP structure (GGA-PBE, Alexandria via LeMat-Bulk).

Structure (CIF):
```
data_K2LaP
_chemical_formula_sum 'K2 La1 P1'
_space_group_name_H-M_alt 'P 4/m m m'
_space_group_IT_number 123
_space_group_name_Hall '-P 4 2'
_cell_length_a 4.856
_cell_length_b 4.856
_cell_length_c 6.073
_cell_angle_alpha 90.00
_cell_angle_beta 90.00
_cell_angle_gamma 90.00
loop_
_atom_site_label
_atom_site_type_symbol
_atom_site_fract_x
_atom_site_fract_y
_atom_site_fract_z
K1 K 0.000 0.000 0.224
La1 La 0.500 0.500 0.500
P1 P 0.500 0.500 0.000
```

Calculated values
E_form in meV per atom: 92

---

Entry 6:
# ScTcAg2

A geometry-optimized ScTcAg2 structure (GGA-PBE, Alexandria via LeMat-Bulk).

Structure (CIF):
```
data_ScTcAg2
_chemical_formula_sum 'Sc4 Tc4 Ag8'
_space_group_name_H-M_alt 'F -4 3 m'
_space_group_IT_number 216
_space_group_name_Hall 'F -4 2 3'
_cell_length_a 6.576
_cell_length_b 6.576
_cell_length_c 6.576
_cell_angle_alpha 90.00
_cell_angle_beta 90.00
_cell_angle_gamma 90.00
loop_
_atom_site_label
_atom_site_type_symbol
_atom_site_fract_x
_atom_site_fract_y
_atom_site_fract_z
Sc1 Sc 0.000 0.000 0.000
Tc1 Tc 0.250 0.250 0.250
Ag1 Ag 0.000 0.000 0.500
Ag2 Ag 0.250 0.250 0.750
```

Calculated values
Energy above the lowest structure with this stoichiometry in meV per atom: 174
E_form in meV per atom: 280

---

Entry 7:
# LiDyUN3

A geometry-optimized LiDyUN3 structure (GGA-PBE, Alexandria via LeMat-Bulk).

Structure (CIF):
```
data_LiDyUN3
_chemical_formula_sum 'Li2 Dy2 U2 N6'
_space_group_name_H-M_alt 'P 1 21/m 1'
_space_group_IT_number 11
_cell_length_a 6.812
_cell_length_b 3.402
_cell_length_c 7.047
_cell_angle_alpha 90.00
_cell_angle_beta 101.29
_cell_angle_gamma 90.00
loop_
_space_group_symop_operation_xyz
'x,y,z'
'-x,-y,-z'
'-x,y+1/2,-z'
'x,-y+1/2,z'
loop_
_atom_site_label
_atom_site_type_symbol
_atom_site_fract_x
_atom_site_fract_y
_atom_site_fract_z
Li1 Li 0.079 0.250 0.072
Dy1 Dy 0.291 0.750 0.826
U1 U 0.315 0.750 0.330
N1 N 0.015 0.750 0.208
N2 N 0.361 0.250 0.115
N3 N 0.368 0.250 0.585
```

Calculated values
Formation energy (no corrections) in eV per atom: -1.180

---

Entry 8:
# Hf4Zn3Co

A geometry-optimized Hf4Zn3Co structure (GGA-PBE, Alexandria via LeMat-Bulk).

Structure (CIF):
```
data_Hf4Zn3Co
_chemical_formula_sum 'Hf4 Zn3 Co1'
_space_group_name_H-M_alt 'P 4/m m m'
_space_group_IT_number 123
_space_group_name_Hall '-P 4 2'
_cell_length_a 3.251
_cell_length_b 3.251
_cell_length_c 13.163
_cell_angle_alpha 90.00
_cell_angle_beta 90.00
_cell_angle_gamma 90.00
loop_
_atom_site_label
_atom_site_type_symbol
_atom_site_fract_x
_atom_site_fract_y
_atom_site_fract_z
Hf1 Hf 0.000 0.000 0.115
Hf2 Hf 0.000 0.000 0.371
Zn1 Zn 0.500 0.500 0.244
Zn2 Zn 0.500 0.500 0.500
Co1 Co 0.500 0.500 0.000
```

Calculated values
E_form in meV per atom: -234

---

no.,total magnetic moment (μB per cell)
1,0.0
2,0.0
3,0.2
4,0.0
5,0.0
6,6.9
7,1.4
8,0.0